1.
DFT (meta-GGA SCAN) results for Na2ClF at its PBEsol-relaxed geometry.

Unit cell a=5.9136 b=5.9136 c=5.9136 alpha=115.23 beta=115.23 gamma=98.48
Sites, in units of the cell vectors:
Na: 0.0619 0.6250 0.9369
Na: 0.3750 0.3119 0.4369
Na: 0.6881 0.1250 0.0631
Na: 0.8750 0.9381 0.5631
Cl: 0.2500 0.7500 0.5000
Cl: 0.5000 0.5000 0.0000
F: 0.0000 0.0000 0.0000
F: 0.7500 0.2500 0.5000

Values from the calculation:
For the energy relative to the elements, uncorrected, the calculation gives -2368 meV/atom. Its magnetic moment is 0.00 Bohr magnetons per cell.

2.
DFT (meta-GGA SCAN) results for KMg2Mn at its PBEsol-relaxed geometry.

Unit cell a=5.2628 b=5.2628 c=5.2628 alpha=60.00 beta=60.00 gamma=60.00
Sites, in units of the cell vectors:
K: 0.0000 0.0000 0.0000
Mg: 0.5000 0.5000 0.5000
Mg: 0.7500 0.7500 0.7500
Mn: 0.2500 0.2500 0.2500

Values from the calculation:
For the formation energy, the calculation gives 0.415 eV per atom. As for the energy above the most stable polymorph in this dataset: 224 meV/atom. Its magnetic moment is 4.25 Bohr magnetons per cell.

3.
DFT (meta-GGA SCAN) results for Rb2BSe2 at its PBEsol-relaxed geometry.

Unit cell a=6.6774 b=6.6774 c=5.4869 alpha=90.00 beta=90.00 gamma=90.00
Sites, in units of the cell vectors:
Rb: 0.1606 0.3394 0.0000
Rb: 0.3394 0.8394 0.0000
Rb: 0.6606 0.1606 0.0000
Rb: 0.8394 0.6606 0.0000
B: 0.0000 0.0000 0.5000
B: 0.5000 0.5000 0.5000
Se: 0.1879 0.6879 0.5000
Se: 0.3121 0.1879 0.5000
Se: 0.6879 0.8121 0.5000
Se: 0.8121 0.3121 0.5000

Values from the calculation:
For the energy relative to the elements, uncorrected, the calculation gives 120 meV/atom. Its magnetic moment is 1.96 Bohr magnetons per cell.

4.
DFT (meta-GGA SCAN) results for YTiB2 at its PBEsol-relaxed geometry.

Unit cell a=4.2165 b=4.2165 c=4.2165 alpha=60.00 beta=60.00 gamma=60.00
Sites, in units of the cell vectors:
Y: 0.0000 0.0000 0.0000
Ti: 0.5000 0.5000 0.5000
B: 0.2500 0.2500 0.2500
B: 0.7500 0.7500 0.7500

Values from the calculation:
For the formation energy, the calculation gives 0.270 eV per atom. Its magnetic moment is 0.63 Bohr magnetons per cell.

5.
DFT (meta-GGA SCAN) results for CsCr3I at its PBEsol-relaxed geometry.

Unit cell a=6.1023 b=6.1023 c=6.1023 alpha=90.00 beta=90.00 gamma=90.00
Sites, in units of the cell vectors:
Cs: 0.0000 0.0000 0.0000
Cr: 0.0000 0.0000 0.5000
Cr: 0.0000 0.5000 0.0000
Cr: 0.5000 0.0000 0.0000
I: 0.5000 0.5000 0.5000

Values from the calculation:
For the energy relative to the elements, uncorrected, the calculation gives 1591 meV/atom. Its magnetic moment is 17.99 Bohr magnetons per cell.

6.
DFT (meta-GGA SCAN) results for AlFeN2F at its PBEsol-relaxed geometry.

Unit cell a=3.6363 b=3.6363 c=3.7656 alpha=90.00 beta=90.00 gamma=90.00
Sites, in units of the cell vectors:
Al: 0.0000 0.0000 0.0000
Fe: 0.5000 0.5000 0.5000
N: 0.0000 0.5000 0.5000
N: 0.5000 0.0000 0.5000
F: 0.5000 0.5000 0.0000

Values from the calculation:
For the energy relative to the elements, uncorrected, the calculation gives 87 meV/atom. Its magnetic moment is 2.39 Bohr magnetons per cell.

7.
DFT (meta-GGA SCAN) results for MgCd2Ni at its PBEsol-relaxed geometry.

Unit cell a=4.0963 b=4.0963 c=3.9985 alpha=90.00 beta=90.00 gamma=90.00
Sites, in units of the cell vectors:
Mg: 0.0000 0.0000 0.0000
Cd: 0.0000 0.5000 0.5000
Cd: 0.5000 0.0000 0.5000
Ni: 0.5000 0.5000 0.0000

Values from the calculation:
For the formation energy, the calculation gives -0.013 eV per atom. Its magnetic moment is 0.00 Bohr magnetons per cell.

8.
DFT (meta-GGA SCAN) results for ZnCu2Ni at its PBEsol-relaxed geometry.

Unit cell a=2.5065 b=4.1415 c=4.4463 alpha=90.00 beta=95.59 gamma=90.00
Sites, in units of the cell vectors:
Zn: 0.0000 0.0000 0.0000
Cu: 0.2484 0.5000 0.7450
Cu: 0.7516 0.5000 0.2550
Ni: 0.5000 0.0000 0.5000

Values from the calculation:
For the formation energy, the calculation gives -0.020 eV per atom. Its magnetic moment is 0.00 Bohr magnetons per cell.

9.
DFT (meta-GGA SCAN) results for SbPN2 at its PBEsol-relaxed geometry.

Unit cell a=5.2361 b=5.2361 c=5.2361 alpha=60.00 beta=60.00 gamma=60.00
Sites, in units of the cell vectors:
Sb: 0.1250 0.1250 0.1250
Sb: 0.8750 0.8750 0.8750
P: 0.3750 0.3750 0.3750
P: 0.6250 0.6250 0.6250
N: 0.0000 0.5000 0.5000
N: 0.5000 0.0000 0.5000
N: 0.5000 0.5000 0.0000
N: 0.5000 0.5000 0.5000

Values from the calculation:
For the energy relative to the elements, uncorrected, the calculation gives 168 meV/atom. Its magnetic moment is 0.00 Bohr magnetons per cell.

10.
DFT (meta-GGA SCAN) results for Li3SnF at its PBEsol-relaxed geometry.

Unit cell a=4.1505 b=4.1505 c=4.1505 alpha=90.00 beta=90.00 gamma=90.00
Sites, in units of the cell vectors:
Li: 0.0000 0.0000 0.5000
Li: 0.0000 0.5000 0.0000
Li: 0.5000 0.0000 0.0000
Sn: 0.5000 0.5000 0.5000
F: 0.0000 0.0000 0.0000

Values from the calculation:
For the energy relative to the elements, uncorrected, the calculation gives -1328 meV/atom. Its magnetic moment is 0.00 Bohr magnetons per cell.

11.
DFT (meta-GGA SCAN) results for KCdMo at its PBEsol-relaxed geometry.

Unit cell a=5.1039 b=5.1039 c=5.1039 alpha=60.00 beta=60.00 gamma=60.00
Sites, in units of the cell vectors:
K: 0.0000 0.0000 0.0000
Cd: 0.5000 0.5000 0.5000
Mo: 0.7500 0.7500 0.7500

Values from the calculation:
For the formation energy, the calculation gives 1.404 eV per atom. As for the energy above the most stable polymorph in this dataset: 0 meV/atom. Its magnetic moment is 4.54 Bohr magnetons per cell.

12.
DFT (meta-GGA SCAN) results for LiCaTi3 at its PBEsol-relaxed geometry.

Unit cell a=4.6543 b=4.6543 c=4.6543 alpha=90.00 beta=90.00 gamma=90.00
Sites, in units of the cell vectors:
Li: 0.0000 0.0000 0.0000
Ca: 0.5000 0.5000 0.5000
Ti: 0.0000 0.0000 0.5000
Ti: 0.0000 0.5000 0.0000
Ti: 0.5000 0.0000 0.0000

Values from the calculation:
For the formation energy, the calculation gives 0.965 eV per atom. Its magnetic moment is 1.52 Bohr magnetons per cell.

13.
DFT (meta-GGA SCAN) results for NaMg2TaIn at its PBEsol-relaxed geometry.

Unit cell a=4.7101 b=4.7101 c=4.9595 alpha=90.00 beta=90.00 gamma=90.00
Sites, in units of the cell vectors:
Na: 0.0000 0.0000 0.0000
Mg: 0.0000 0.5000 0.0000
Mg: 0.5000 0.0000 0.0000
Ta: 0.5000 0.5000 0.5000
In: 0.0000 0.0000 0.5000

Values from the calculation:
For the formation energy, the calculation gives 1.324 eV per atom. Its magnetic moment is 0.81 Bohr magnetons per cell.

14.
DFT (meta-GGA SCAN) results for HfCd3Ag at its PBEsol-relaxed geometry.

Unit cell a=4.9460 b=4.9460 c=4.9460 alpha=90.00 beta=90.00 gamma=90.00
Sites, in units of the cell vectors:
Hf: 0.0000 0.0000 0.0000
Cd: 0.0000 0.5000 0.5000
Cd: 0.5000 0.0000 0.5000
Cd: 0.5000 0.5000 0.0000
Ag: 0.5000 0.5000 0.5000

Values from the calculation:
For the formation energy, the calculation gives 0.777 eV per atom. Its magnetic moment is 0.00 Bohr magnetons per cell.

15.
DFT (meta-GGA SCAN) results for CdTe4Ir at its PBEsol-relaxed geometry.

Unit cell a=6.0485 b=6.0485 c=6.0485 alpha=60.00 beta=60.00 gamma=60.00
Sites, in units of the cell vectors:
Cd: 0.0000 0.0000 0.0000
Te: 0.3757 0.3757 0.3757
Te: 0.3757 0.3757 0.8728
Te: 0.3757 0.8728 0.3757
Te: 0.8728 0.3757 0.3757
Ir: 0.7500 0.7500 0.7500

Values from the calculation:
For the energy relative to the elements, uncorrected, the calculation gives 1149 meV/atom. Its magnetic moment is 1.64 Bohr magnetons per cell.

16.
DFT (meta-GGA SCAN) results for MoAsW at its PBEsol-relaxed geometry.

Unit cell a=4.2201 b=4.2201 c=4.2201 alpha=60.00 beta=60.00 gamma=60.00
Sites, in units of the cell vectors:
Mo: 0.0000 0.0000 0.0000
As: 0.7500 0.7500 0.7500
W: 0.2500 0.2500 0.2500

Values from the calculation:
For the formation energy, the calculation gives 0.475 eV per atom. As for the energy above the most stable polymorph in this dataset: 198 meV/atom. Its magnetic moment is 0.00 Bohr magnetons per cell.

17.
DFT (meta-GGA SCAN) results for BaZnRh2 at its PBEsol-relaxed geometry.

Unit cell a=5.8000 b=5.8000 c=5.8000 alpha=149.23 beta=129.34 gamma=60.45
Sites, in units of the cell vectors:
Ba: 0.0000 0.0000 0.0000
Zn: 0.7108 0.2108 0.5000
Rh: 0.2807 0.7807 0.5000
Rh: 0.4969 0.4969 0.0000

Values from the calculation:
For the formation energy, the calculation gives 0.265 eV per atom. Its magnetic moment is 0.00 Bohr magnetons per cell.

18.
DFT (meta-GGA SCAN) results for TcAs2 at its PBEsol-relaxed geometry.

Unit cell a=4.6333 b=4.6333 c=2.6146 alpha=90.00 beta=90.00 gamma=120.00
Sites, in units of the cell vectors:
Tc: 0.0000 0.0000 0.0000
As: 0.3333 0.6667 0.0000
As: 0.6667 0.3333 0.0000

Values from the calculation:
For the formation energy, the calculation gives 0.241 eV per atom. As for the energy above the most stable polymorph in this dataset: 486 meV/atom. Its magnetic moment is 0.00 Bohr magnetons per cell.

19.
DFT (meta-GGA SCAN) results for MgCd2 at its PBEsol-relaxed geometry.

Unit cell a=8.0021 b=8.0021 c=4.9853 alpha=90.00 beta=90.00 gamma=157.23
Sites, in units of the cell vectors:
Mg: 0.1100 0.8900 0.7500
Mg: 0.8900 0.1100 0.2500
Cd: 0.2218 0.7782 0.2500
Cd: 0.4450 0.5550 0.7500
Cd: 0.5550 0.4450 0.2500
Cd: 0.7782 0.2218 0.7500

Values from the calculation:
For the formation energy, the calculation gives -0.117 eV per atom. Its magnetic moment is 0.00 Bohr magnetons per cell.

20.
DFT (meta-GGA SCAN) results for MnCoIr2 at its PBEsol-relaxed geometry.

Unit cell a=2.7508 b=4.3011 c=4.4677 alpha=90.00 beta=90.00 gamma=90.00
Sites, in units of the cell vectors:
Mn: 0.0000 0.0000 0.0000
Co: 0.5000 0.0000 0.5000
Ir: 0.0000 0.5000 0.5000
Ir: 0.5000 0.5000 0.0000

Values from the calculation:
For the formation energy, the calculation gives -0.133 eV per atom. Its magnetic moment is 6.82 Bohr magnetons per cell.